This record from Alexandria via LeMat-Bulk describes crystalline CaTlCr at its relaxed geometry. The functional is PBE.

abc: 3.5831 3.5831 7.2972
angles: 90.00 90.00 120.00
With the nearest neighbours (Å) after each atom.
Sites, in units of the cell vectors:
1 Cr 0.3333 0.6667 0.3531  3 Tl 2.97, 3 Ca 3.29
2 Tl 0.6667 0.3333 0.6443  3 Cr 2.97
3 Ca 0.0000 0.0000 0.0026  3 Cr 3.29, 3 Tl 3.33, 6 Ca 3.58

Summary:
ΔE_f = 0.474 eV/atom
total magnetic moment = 4.4 μB/f.u.